CeSm3S4 at its PBEsol-relaxed geometry. Source: the Alexandria database, functional meta-GGA SCAN.

a b c (Å): 6.859 6.859 6.839
angles (deg): 99.62 99.62 33.48
Fractional positions:
Ce1 0.000 0.000 0.000
Sm1 0.248 0.248 0.749
Sm2 0.500 0.500 0.500
Sm3 0.752 0.752 0.251
S1 0.125 0.125 0.374
S2 0.375 0.375 0.124
S3 0.625 0.625 0.876
S4 0.875 0.875 0.626

Summary:
Formation energy (no corrections) ... -2.27 eV per atom
Total energy ... -234.59 eV per formula unit
SG ... C2/m (12)
Total magnetization ... 1.0 Bohr magnetons per cell